Compound: Li7Mn2Co3O12
Source: Alexandria
Functional: PBE with a Hubbard U
Structure: optimized geometry

Geometry as POSCAR:
```
Li7Mn2Co3O12
1.0
6.288 -1.450 0.000
6.288 1.450 0.000
-2.837 0.000 11.456
Li Mn Co O
7 2 3 12
direct
0.000 0.000 0.000
0.000 0.000 0.489
0.338 0.338 0.841
0.344 0.344 0.315
0.658 0.658 0.153
0.664 0.664 0.676
0.996 0.996 0.236
0.335 0.335 0.577
0.660 0.660 0.403
0.003 0.003 0.752
0.336 0.336 0.081
0.669 0.669 0.916
0.170 0.170 0.299
0.171 0.171 0.804
0.173 0.173 0.522
0.176 0.176 0.027
0.485 0.485 0.113
0.489 0.489 0.621
0.509 0.509 0.872
0.512 0.512 0.371
0.826 0.826 0.968
0.828 0.828 0.461
0.828 0.828 0.687
0.829 0.829 0.185
```

Properties
SG = No. 8
distance to the lowest polymorph of the same formula = 1.20 eV/f.u.
electronic total energy = -5.847 eV/atom